(1)
First-principles (GGA-PBE) data for a relaxed structure of Pu4Th2Bi3H2, as listed in Alexandria via LeMat-Bulk.

Cell lengths 3.5376, 3.5376, 18.9565 Å; angles 95.35, 95.35, 90.00 degrees
Element x y z (fractional)
H  0.5391  0.5391  0.0781
H  0.4609  0.4609  0.9219
Pu  0.5752  0.0751  0.1503
Pu  0.0752  0.5751  0.1503
Pu  0.4248  0.9249  0.8497
Pu  0.9248  0.4249  0.8497
Bi  0.8516  0.8516  0.7032
Bi  0.1484  0.1484  0.2968
Bi  0.0000  0.0000  0.0000
Th  0.2849  0.2849  0.5699
Th  0.7151  0.7151  0.4301

(2)
First-principles (GGA-PBE) data for a relaxed structure of Rb2Bi2H, as listed in Alexandria via LeMat-Bulk.

Cell lengths 7.4704, 7.4704, 6.4392 Å; angles 54.54, 54.54, 90.00 degrees
Element x y z (fractional)
Bi  0.7145  0.7145  0.5710
Bi  0.2855  0.2855  0.4290
Rb  0.2500  0.7500  0.5000
Rb  0.7500  0.2500  0.5000
H  0.0000  0.0000  0.0000

(3)
First-principles (GGA-PBE) data for a relaxed structure of Rb2BiH, as listed in Alexandria via LeMat-Bulk.

Cell lengths 6.1763, 6.1763, 6.1763 Å; angles 60.00, 60.00, 60.00 degrees
Site moments in Bohr magnetons follow the coordinates.
Element x y z (fractional)
Rb  0.2500  0.2500  0.2500  0.02
Rb  0.7500  0.7500  0.7500  0.02
Bi  0.5000  0.5000  0.5000  0.94
H  0.0000  0.0000  0.0000  0.14

(4)
First-principles (GGA-PBE) data for a relaxed structure of Rb5BiH2, as listed in Alexandria via LeMat-Bulk.

Cell lengths 5.8988, 5.8988, 10.1883 Å; angles 106.83, 106.83, 90.00 degrees
Element x y z (fractional)
Rb  0.3649  0.8649  0.7298
Rb  0.0000  0.0000  0.0000
Rb  0.1351  0.6351  0.2702
Rb  0.6351  0.1351  0.2702
Rb  0.8649  0.3649  0.7298
H  0.8350  0.8350  0.6699
H  0.1650  0.1650  0.3301
Bi  0.5000  0.5000  0.0000

(5)
First-principles (GGA-PBE) data for a relaxed structure of RbBi2H, as listed in Alexandria via LeMat-Bulk.

Cell lengths 5.5550, 5.5550, 5.5550 Å; angles 60.00, 60.00, 60.00 degrees
Site moments in Bohr magnetons follow the coordinates.
Element x y z (fractional)
H  0.0000  0.0000  0.0000  0.17
Bi  0.7500  0.7500  0.7500  0.03
Bi  0.2500  0.2500  0.2500  0.03
Rb  0.5000  0.5000  0.5000  0.01

(6)
First-principles (GGA-PBE) data for a relaxed structure of Rb6BiH2, as listed in Alexandria via LeMat-Bulk.

Cell lengths 6.2989, 8.4722, 9.5902 Å; angles 73.39, 70.83, 68.18 degrees
Element x y z (fractional)
Bi  0.0000  0.5000  0.5000
Rb  0.6506  0.2796  0.4192
Rb  0.9714  0.8653  0.1919
Rb  0.0286  0.1347  0.8081
Rb  0.2687  0.3549  0.1078
Rb  0.7313  0.6451  0.8922
Rb  0.3494  0.7204  0.5808
H  0.1824  0.7190  0.9161
H  0.8176  0.2810  0.0839

(7)
First-principles (GGA-PBE) data for a relaxed structure of RbBi3H, as listed in Alexandria via LeMat-Bulk.

Cell lengths 5.1725, 5.1725, 5.1725 Å; angles 90.00, 90.00, 90.00 degrees
Element x y z (fractional)
H  0.0000  0.0000  0.0000
Bi  0.0000  0.5000  0.0000
Bi  0.5000  0.0000  0.0000
Bi  0.0000  0.0000  0.5000
Rb  0.5000  0.5000  0.5000

(8)
First-principles (GGA-PBE) data for a relaxed structure of Rb6Bi2H, as listed in Alexandria via LeMat-Bulk.

Cell lengths 8.2380, 8.2386, 11.6433 Å; angles 90.00, 90.01, 90.00 degrees
Site moments in Bohr magnetons follow the coordinates.
Element x y z (fractional)
Bi  0.5001  0.0002  0.7500  0.23
Bi  0.9999  0.5002  0.7500  0.23
Bi  0.0001  0.4998  0.2500  0.23
Bi  0.4999  0.9998  0.2500  0.23
Rb  0.2592  0.2589  0.0000  0.00
Rb  0.7413  0.2591  0.9998  0.00
Rb  0.2587  0.7409  0.0002  0.00
Rb  0.4996  0.5003  0.7591  0.00
Rb  0.2413  0.2409  0.4998  0.00
Rb  0.2408  0.7589  0.5000  0.00
Rb  0.9996  0.9997  0.2591  0.00
Rb  0.5004  0.4997  0.2409  0.00
Rb  0.7587  0.7591  0.5002  0.00
Rb  0.0004  0.0003  0.7409  0.00
Rb  0.7592  0.2411  0.5000  0.00
Rb  0.7408  0.7411  0.0000  0.00
H  0.5000  0.5000  0.0000  0.00
H  0.0000  0.0000  0.5000  0.00

(9)
First-principles (GGA-PBE) data for a relaxed structure of Rb8Bi2H, as listed in Alexandria via LeMat-Bulk.

Cell lengths 6.4251, 8.3596, 12.5504 Å; angles 116.22, 104.83, 90.00 degrees
Element x y z (fractional)
Rb  0.0258  0.7782  0.0516
Rb  0.4108  0.6323  0.8216
Rb  0.3256  0.0625  0.6513
Rb  0.7784  0.6853  0.5569
Rb  0.6744  0.9375  0.3487
Rb  0.2216  0.3147  0.4431
Rb  0.5892  0.3677  0.1784
Rb  0.9742  0.2218  0.9484
Bi  0.8421  0.3493  0.6843
Bi  0.1579  0.6507  0.3157
H  0.5000  0.0000  0.0000

(10)
First-principles (GGA-PBE) data for a relaxed structure of Rb2BiH6, as listed in Alexandria via LeMat-Bulk.

Cell lengths 4.8229, 6.6614, 6.6614 Å; angles 120.00, 90.00, 90.00 degrees
Element x y z (fractional)
H  0.2403  0.2520  0.0000
H  0.7596  0.2519  0.2519
H  0.7597  0.7480  0.0000
H  0.2404  0.7481  0.7481
H  0.2403  0.0000  0.2520
H  0.7597  0.0000  0.7480
Rb  0.5000  0.3333  0.6667
Rb  0.5000  0.6667  0.3333
Bi  0.0000  0.0000  0.0000

no.,energy (eV/atom)
1,-7.958
2,-2.503
3,-2.044
4,-2.118
5,-2.255
6,-1.971
7,-3.041
8,-2.098
9,-1.909
10,-2.635